1.
# Nb2Ru3 PBE optimized geometry
# magnetization	0.000	Bohr magnetons per cell
# energy relative to the elements	0.040	eV/atom
# final energy	-9.55	eV/atom
data_Nb2Ru3
_chemical_formula_sum 'Nb4 Ru6'
_space_group_name_H-M_alt 'P 1'
_space_group_IT_number 1
_cell_length_a 6.916
_cell_length_b 6.916
_cell_length_c 6.916
_cell_angle_alpha 132.21
_cell_angle_beta 66.17
_cell_angle_gamma 137.07
loop_
_space_group_symop_operation_xyz
'x,y,z'
loop_
_atom_site_label
_atom_site_type_symbol
_atom_site_fract_x
_atom_site_fract_y
_atom_site_fract_z
Nb1 Nb 0.181 0.193 0.374
Nb2 Nb 0.319 0.693 0.012
Nb3 Nb 0.681 0.307 0.988
Nb4 Nb 0.819 0.807 0.626
Ru1 Ru 0.100 0.644 0.743
Ru2 Ru 0.250 0.250 0.000
Ru3 Ru 0.400 0.144 0.544
Ru4 Ru 0.600 0.856 0.456
Ru5 Ru 0.750 0.750 0.000
Ru6 Ru 0.900 0.356 0.257

=====

2.
# Nb4Ru PBE optimized geometry
# magnetization	0.000	Bohr magnetons per cell
# energy relative to the elements	0.162	eV/atom
# final energy	-9.75	eV/atom
# ΔE to the lowest computed polymorph	305	meV/atom
data_Nb4Ru
_chemical_formula_sum 'Nb8 Ru2'
_space_group_name_H-M_alt 'P 1'
_space_group_IT_number 1
_cell_length_a 7.221
_cell_length_b 7.221
_cell_length_c 7.221
_cell_angle_alpha 135.03
_cell_angle_beta 135.03
_cell_angle_gamma 65.49
loop_
_space_group_symop_operation_xyz
'x,y,z'
loop_
_atom_site_label
_atom_site_type_symbol
_atom_site_fract_x
_atom_site_fract_y
_atom_site_fract_z
Nb1 Nb 0.162 0.815 0.879
Nb2 Nb 0.216 0.338 0.153
Nb3 Nb 0.315 0.937 0.653
Nb4 Nb 0.437 0.284 0.621
Nb5 Nb 0.563 0.716 0.379
Nb6 Nb 0.685 0.063 0.347
Nb7 Nb 0.784 0.662 0.847
Nb8 Nb 0.838 0.185 0.121
Ru1 Ru 0.125 0.375 0.750
Ru2 Ru 0.875 0.625 0.250

=====

3.
# NbRu2 PBE optimized geometry
# magnetization	0.001	Bohr magnetons per cell
# energy relative to the elements	0.049	eV/atom
# final energy	-9.49	eV/atom
data_NbRu2
_chemical_formula_sum 'Nb1 Ru2'
_space_group_name_H-M_alt 'P 1'
_space_group_IT_number 1
_cell_length_a 5.254
_cell_length_b 5.254
_cell_length_c 5.254
_cell_angle_alpha 145.09
_cell_angle_beta 145.09
_cell_angle_gamma 50.20
loop_
_space_group_symop_operation_xyz
'x,y,z'
loop_
_atom_site_label
_atom_site_type_symbol
_atom_site_fract_x
_atom_site_fract_y
_atom_site_fract_z
Nb1 Nb 0.000 0.000 0.000
Ru1 Ru 0.345 0.345 0.000
Ru2 Ru 0.655 0.655 0.000

=====

4.
# Nb4Ru PBE optimized geometry
# magnetization	0.000	Bohr magnetons per cell
# energy relative to the elements	-0.143	eV/atom
# final energy	-10.05	eV/atom
# ΔE to the lowest computed polymorph	0	meV/atom
data_Nb4Ru
_chemical_formula_sum 'Nb4 Ru1'
_space_group_name_H-M_alt 'P 1'
_space_group_IT_number 1
_cell_length_a 2.906
_cell_length_b 4.533
_cell_length_c 6.997
_cell_angle_alpha 108.81
_cell_angle_beta 97.61
_cell_angle_gamma 90.02
loop_
_space_group_symop_operation_xyz
'x,y,z'
loop_
_atom_site_label
_atom_site_type_symbol
_atom_site_fract_x
_atom_site_fract_y
_atom_site_fract_z
Nb1 Nb 0.102 0.403 0.307
Nb2 Nb 0.308 0.199 0.898
Nb3 Nb 0.692 0.801 0.102
Nb4 Nb 0.898 0.597 0.693
Ru1 Ru 0.500 0.000 0.500

=====

5.
# Nb3Ru5 PBE optimized geometry
# magnetization	0.000	Bohr magnetons per cell
# energy relative to the elements	-0.217	eV/atom
# final energy	-9.79	eV/atom
data_Nb3Ru5
_chemical_formula_sum 'Nb3 Ru5'
_space_group_name_H-M_alt 'P 1'
_space_group_IT_number 1
_cell_length_a 5.481
_cell_length_b 5.481
_cell_length_c 4.198
_cell_angle_alpha 90.00
_cell_angle_beta 90.00
_cell_angle_gamma 99.28
loop_
_space_group_symop_operation_xyz
'x,y,z'
loop_
_atom_site_label
_atom_site_type_symbol
_atom_site_fract_x
_atom_site_fract_y
_atom_site_fract_z
Nb1 Nb 0.000 0.000 0.000
Nb2 Nb 0.288 0.712 0.500
Nb3 Nb 0.712 0.288 0.500
Ru1 Ru 0.000 0.500 0.000
Ru2 Ru 0.219 0.219 0.500
Ru3 Ru 0.500 0.000 0.000
Ru4 Ru 0.500 0.500 0.000
Ru5 Ru 0.781 0.781 0.500

=====

6.
# Nb4Ru PBE optimized geometry
# magnetization	0.000	Bohr magnetons per cell
# energy relative to the elements	1.097	eV/atom
# final energy	-8.81	eV/atom
# ΔE to the lowest computed polymorph	1239	meV/atom
data_Nb4Ru
_chemical_formula_sum 'Nb4 Ru1'
_space_group_name_H-M_alt 'P 1'
_space_group_IT_number 1
_cell_length_a 4.770
_cell_length_b 4.770
_cell_length_c 4.770
_cell_angle_alpha 90.00
_cell_angle_beta 90.00
_cell_angle_gamma 90.00
loop_
_space_group_symop_operation_xyz
'x,y,z'
loop_
_atom_site_label
_atom_site_type_symbol
_atom_site_fract_x
_atom_site_fract_y
_atom_site_fract_z
Nb1 Nb 0.000 0.000 0.000
Nb2 Nb 0.000 0.500 0.500
Nb3 Nb 0.500 0.000 0.500
Nb4 Nb 0.500 0.500 0.000
Ru1 Ru 0.500 0.500 0.500

=====

7.
# Nb3Ru2 PBE optimized geometry
# magnetization	0.000	Bohr magnetons per cell
# energy relative to the elements	-0.166	eV/atom
# final energy	-9.92	eV/atom
data_Nb3Ru2
_chemical_formula_sum 'Nb6 Ru4'
_space_group_name_H-M_alt 'P 1'
_space_group_IT_number 1
_cell_length_a 8.269
_cell_length_b 8.269
_cell_length_c 4.543
_cell_angle_alpha 90.00
_cell_angle_beta 90.00
_cell_angle_gamma 32.27
loop_
_space_group_symop_operation_xyz
'x,y,z'
loop_
_atom_site_label
_atom_site_type_symbol
_atom_site_fract_x
_atom_site_fract_y
_atom_site_fract_z
Nb1 Nb 0.048 0.562 0.750
Nb2 Nb 0.234 0.766 0.750
Nb3 Nb 0.438 0.952 0.750
Nb4 Nb 0.562 0.048 0.250
Nb5 Nb 0.766 0.234 0.250
Nb6 Nb 0.952 0.438 0.250
Ru1 Ru 0.176 0.627 0.250
Ru2 Ru 0.373 0.824 0.250
Ru3 Ru 0.627 0.176 0.750
Ru4 Ru 0.824 0.373 0.750

=====

8.
# NbRu2 PBE optimized geometry
# magnetization	0.000	Bohr magnetons per cell
# energy relative to the elements	-0.031	eV/atom
# final energy	-9.57	eV/atom
data_NbRu2
_chemical_formula_sum 'Nb2 Ru4'
_space_group_name_H-M_alt 'P 1'
_space_group_IT_number 1
_cell_length_a 5.114
_cell_length_b 5.114
_cell_length_c 5.114
_cell_angle_alpha 60.00
_cell_angle_beta 60.00
_cell_angle_gamma 60.00
loop_
_space_group_symop_operation_xyz
'x,y,z'
loop_
_atom_site_label
_atom_site_type_symbol
_atom_site_fract_x
_atom_site_fract_y
_atom_site_fract_z
Nb1 Nb 0.125 0.125 0.125
Nb2 Nb 0.875 0.875 0.875
Ru1 Ru 0.000 0.500 0.500
Ru2 Ru 0.500 0.000 0.500
Ru3 Ru 0.500 0.500 0.000
Ru4 Ru 0.500 0.500 0.500